Material: PmNdCdGa
Method: DFT, GGA-PBE
State: optimized geometry

The space group is F-43m (No. 216) and the conventional cell measures 7.539, 7.539 and 7.539 Å, with angles of 90.00, 90.00 and 90.00 degrees. The inequivalent atoms are Pm at (0.000, 0.000, 0.000), Nd at (0.000, 0.000, 0.500), Cd at (0.250, 0.250, 0.250) and Ga at (0.250, 0.250, 0.750).

The formation energy is -0.431 eV per atom. The electronic total energy comes out at -60.743 eV for the cell shown.

***

Material: MgIr2Au
Method: DFT, GGA-PBE
State: optimized geometry

The space group is Pmmm (No. 47) and the conventional cell measures 2.818, 4.048 and 5.568 Å, with angles of 90.00, 90.00 and 90.00 degrees. The inequivalent atoms are Mg at (0.000, 0.000, 0.000), Ir at (0.500, 0.500, 0.232) and Au at (0.000, 0.000, 0.500).

The formation energy is 0.093 eV per atom. The electronic total energy comes out at -22.221 eV for the cell shown.

***

Material: BaCd3
Method: DFT, GGA-PBE
State: optimized geometry

The space group is R-3m (No. 166, hexagonal axes) and the conventional cell measures 11.0349, 11.0349 and 3.6001 Å, with angles of 90.00, 90.00 and 120.00 degrees. The inequivalent atoms are Ba at (0.0000, 0.0000, 0.0000) and Cd at (0.0000, 0.5000, 0.0000).

The formation energy is -0.006 eV per atom. The electronic total energy comes out at -14.080 eV for the cell shown.

***

Material: CaCoW2
Method: DFT, GGA-PBE
State: optimized geometry

The space group is Pm (No. 6) and the conventional cell measures 2.792, 4.117 and 6.458 Å, with angles of 90.00, 102.21 and 90.00 degrees. The inequivalent atoms are Ca at (0.000, 0.000, 0.000), Co at (0.762, 0.500, 0.301), W at (0.285, 0.500, 0.673) and W at (0.505, 0.000, 0.472).

Its excess energy over the best structure of this formula in the dataset is 123.5 meV/atom. The formation energy is 0.606 eV per atom. The electronic total energy comes out at -32.590 eV for the cell shown.

***

Material: SrLiHgP
Method: DFT, GGA-PBE
State: optimized geometry

The space group is F-43m (No. 216) and the conventional cell measures 7.258, 7.258 and 7.258 Å, with angles of 90.00, 90.00 and 90.00 degrees. The inequivalent atoms are Sr at (0.000, 0.000, 0.000), Li at (0.000, 0.000, 0.500), Hg at (0.250, 0.250, 0.250) and P at (0.250, 0.250, 0.750).

The formation energy is -0.553 eV per atom. The electronic total energy comes out at -46.085 eV for the cell shown.

***

Material: CsRb2Ag
Method: DFT, GGA-PBE
State: optimized geometry

The space group is R-3m (No. 166, hexagonal axes) and the conventional cell measures 5.2398, 5.2398 and 38.2533 Å, with angles of 90.00, 90.00 and 120.00 degrees. The inequivalent atoms are Cs at (0.0000, 0.0000, 0.0000), Rb at (0.0000, 0.0000, 0.2187) and Ag at (0.0000, 0.0000, 0.5000).

Its excess energy over the best structure of this formula in the dataset is 28.1 meV/atom. The formation energy is 0.074 eV per atom. The electronic total energy comes out at -16.032 eV for the cell shown.

***

Material: LaAlIr
Method: DFT, GGA-PBE
State: optimized geometry

The space group is F-43m (No. 216) and the conventional cell measures 6.631, 6.631 and 6.631 Å, with angles of 90.00, 90.00 and 90.00 degrees. The inequivalent atoms are La at (0.000, 0.000, 0.000), Al at (0.000, 0.000, 0.500) and Ir at (0.250, 0.250, 0.750).

The formation energy is -0.515 eV per atom. The electronic total energy comes out at -76.299 eV for the cell shown.

***

Material: RbZnInPt2
Method: DFT, GGA-PBE
State: optimized geometry

The space group is P4/mmm (No. 123) and the conventional cell measures 4.923, 4.923 and 5.180 Å, with angles of 90.00, 90.00 and 90.00 degrees. The inequivalent atoms are Rb at (0.000, 0.000, 0.000), Zn at (0.500, 0.500, 0.500), In at (0.500, 0.500, 0.000) and Pt at (0.000, 0.500, 0.500).

The formation energy is 0.265 eV per atom. The electronic total energy comes out at -15.737 eV for the cell shown.

***

Material: CdPbCl
Method: DFT, GGA-PBE
State: optimized geometry

The space group is Cm (No. 8) and the conventional cell measures 13.110, 3.599 and 3.477 Å, with angles of 90.00, 90.03 and 90.00 degrees. The inequivalent atoms are Cd at (0.000, 0.000, 0.000), Pb at (0.164, 0.500, 0.500) and Cl at (0.347, 0.000, 0.996).

Its excess energy over the best structure of this formula in the dataset is 36.3 meV/atom. The electronic total energy comes out at -15.125 eV for the cell shown.

***

Material: Pr8SmIn2
Method: DFT, GGA-PBE
State: optimized geometry

The space group is C2/m (No. 12) and the conventional cell measures 17.647, 6.893 and 6.297 Å, with angles of 90.00, 103.30 and 90.00 degrees. The inequivalent atoms are Pr at (0.001, 0.000, 0.240), Pr at (0.135, 0.500, 0.076), Pr at (0.173, 0.239, 0.609), Sm at (0.000, 0.500, 0.500) and In at (0.179, 0.000, 0.104).

The formation energy is -0.095 eV per atom. The electronic total energy comes out at -98.948 eV for the cell shown.

***

Material: Fe2ReIr
Method: DFT, GGA-PBE
State: optimized geometry

The space group is Cm (No. 8) and the conventional cell measures 8.808, 2.679 and 4.532 Å, with angles of 90.00, 99.94 and 90.00 degrees. The inequivalent atoms are Fe at (0.000, 0.000, 0.000), Fe at (0.249, 0.500, 0.236), Re at (0.002, 0.500, 0.492) and Ir at (0.252, 0.000, 0.743).

The formation energy is 0.012 eV per atom. The electronic total energy comes out at -76.376 eV for the cell shown.

***

Material: AgHPd2Pt
Method: DFT, GGA-PBE
State: optimized geometry

The space group is P4/mmm (No. 123) and the conventional cell measures 4.149, 4.149 and 3.880 Å, with angles of 90.00, 90.00 and 90.00 degrees. The inequivalent atoms are Ag at (0.000, 0.000, 0.000), H at (0.500, 0.500, 0.500), Pd at (0.000, 0.500, 0.500) and Pt at (0.500, 0.500, 0.000).

Its excess energy over the best structure of this formula in the dataset is 0.0 meV/atom. The electronic total energy comes out at -22.787 eV for the cell shown.

***

Material: AsIrS
Method: DFT, GGA-PBE
State: optimized geometry

The space group is P2_1/m (No. 11) and the conventional cell measures 5.616, 3.576 and 5.626 Å, with angles of 90.00, 91.94 and 90.00 degrees. The inequivalent atoms are As at (0.199, 0.250, 0.101), Ir at (0.493, 0.250, 0.795) and S at (0.290, 0.750, 0.584).

The electronic total energy comes out at -36.437 eV for the cell shown.

***

Material: AlVC3
Method: DFT, GGA-PBE
State: optimized geometry

The space group is Pm-3m (No. 221) and the conventional cell measures 3.914, 3.914 and 3.914 Å, with angles of 90.00, 90.00 and 90.00 degrees. The inequivalent atoms are Al at (0.000, 0.000, 0.000), V at (0.500, 0.500, 0.500) and C at (0.000, 0.500, 0.500).

The formation energy is 1.677 eV per atom. The electronic total energy comes out at -32.146 eV for the cell shown.

***

Material: MgNpBiAu
Method: DFT, GGA-PBE
State: optimized geometry

The space group is F-43m (No. 216) and the conventional cell measures 7.326, 7.326 and 7.326 Å, with angles of 90.00, 90.00 and 90.00 degrees. The inequivalent atoms are Mg at (0.000, 0.000, 0.000), Np at (0.000, 0.000, 0.500), Bi at (0.250, 0.250, 0.750) and Au at (0.250, 0.250, 0.250).

The formation energy is -0.106 eV per atom. The electronic total energy comes out at -88.465 eV for the cell shown.

***

Material: SmEr2Sc
Method: DFT, GGA-PBE
State: optimized geometry

The space group is Fm-3m (No. 225) and the conventional cell measures 7.838, 7.838 and 7.838 Å, with angles of 90.00, 90.00 and 90.00 degrees. The inequivalent atoms are Sm at (0.000, 0.000, 0.000), Er at (0.250, 0.250, 0.250) and Sc at (0.000, 0.000, 0.500).

Its excess energy over the best structure of this formula in the dataset is 137.4 meV/atom. The formation energy is 0.165 eV per atom. The electronic total energy comes out at -78.061 eV for the cell shown.

***

Material: KHg3Pt
Method: DFT, GGA-PBE
State: optimized geometry

The space group is P6_3/mmc (No. 194) and the conventional cell measures 5.1967, 5.1967 and 10.8376 Å, with angles of 90.00, 90.00 and 120.00 degrees. The inequivalent atoms are K at (0.3333, 0.6667, 0.2500), Hg at (0.0000, 0.0000, 0.2500), Hg at (0.3333, 0.6667, 0.5655) and Pt at (0.0000, 0.0000, 0.0000).

Its excess energy over the best structure of this formula in the dataset is 183.4 meV/atom. The formation energy is -0.085 eV per atom. The electronic total energy comes out at -16.940 eV for the cell shown.

***

Material: SrLi2NdGe2
Method: DFT, GGA-PBE
State: optimized geometry

The space group is P-3m1 (No. 164) and the conventional cell measures 4.6231, 4.6231 and 7.7551 Å, with angles of 90.00, 90.00 and 120.00 degrees. The inequivalent atoms are Sr at (0.0000, 0.0000, 0.0000), Li at (0.3333, 0.6667, 0.7115), Nd at (0.0000, 0.0000, 0.5000) and Ge at (0.3333, 0.6667, 0.2867).

The formation energy is -0.570 eV per atom. The electronic total energy comes out at -22.935 eV for the cell shown.

***

Material: BaAs2Pd2
Method: DFT, GGA-PBE
State: optimized geometry

The space group is P4/mbm (No. 127) and the conventional cell measures 8.178, 8.178 and 3.238 Å, with angles of 90.00, 90.00 and 90.00 degrees. The inequivalent atoms are Ba at (0.000, 0.000, 0.000), As at (0.133, 0.367, 0.000) and Pd at (0.128, 0.628, 0.500).

The formation energy is -0.320 eV per atom. The electronic total energy comes out at -46.417 eV for the cell shown.

***

Material: AsIr2Cl
Method: DFT, GGA-PBE
State: optimized geometry

The space group is I-4m2 (No. 119) and the conventional cell measures 3.658, 3.658 and 9.498 Å, with angles of 90.00, 90.00 and 90.00 degrees. The inequivalent atoms are As at (0.000, 0.000, 0.000), Ir at (0.000, 0.000, 0.500), Ir at (0.000, 0.500, 0.250) and Cl at (0.000, 0.500, 0.750).

Its excess energy over the best structure of this formula in the dataset is 599.3 meV/atom. The electronic total energy comes out at -41.623 eV for the cell shown.

***

Material: AgHgSe2
Method: DFT, GGA-PBE
State: optimized geometry

The space group is Pmm2 (No. 25) and the conventional cell measures 5.470, 5.479 and 2.968 Å, with angles of 90.00, 90.00 and 90.00 degrees. The inequivalent atoms are Ag at (0.000, 0.000, 0.000), Hg at (0.500, 0.500, 0.503), Se at (0.000, 0.500, 0.760) and Se at (0.500, 0.000, 0.253).

The electronic total energy comes out at -9.915 eV for the cell shown.

***

Material: LaBe2AlPd5
Method: DFT, GGA-PBE
State: optimized geometry

The space group is P4/mmm (No. 123) and the conventional cell measures 4.433, 4.433 and 7.242 Å, with angles of 90.00, 90.00 and 90.00 degrees. The inequivalent atoms are La at (0.000, 0.000, 0.000), Be at (0.500, 0.500, 0.338), Al at (0.000, 0.000, 0.500), Pd at (0.000, 0.500, 0.298) and Pd at (0.500, 0.500, 0.000).

The formation energy is -0.596 eV per atom. The electronic total energy comes out at -47.450 eV for the cell shown.

***

Material: TbSn3Hg
Method: DFT, GGA-PBE
State: optimized geometry

The space group is Pbcm (No. 57) and the conventional cell measures 13.091, 6.292 and 6.348 Å, with angles of 90.00, 90.00 and 90.00 degrees. The inequivalent atoms are Tb at (0.190, 0.013, 0.250), Sn at (0.001, 0.750, 0.000), Sn at (0.220, 0.520, 0.250), Sn at (0.421, 0.696, 0.750) and Hg at (0.380, 0.250, 0.000).

The formation energy is -0.298 eV per atom. The electronic total energy comes out at -73.721 eV for the cell shown.

***

Material: ThP2Pd7
Method: DFT, GGA-PBE
State: optimized geometry

The space group is I4/mmm (No. 139) and the conventional cell measures 4.134, 4.134 and 19.823 Å, with angles of 90.00, 90.00 and 90.00 degrees. The inequivalent atoms are Th at (0.000, 0.000, 0.000), P at (0.000, 0.000, 0.321), Pd at (0.000, 0.000, 0.500), Pd at (0.000, 0.500, 0.109) and Pd at (0.000, 0.500, 0.250).

The formation energy is -0.631 eV per atom. The electronic total energy comes out at -121.794 eV for the cell shown.

***

Material: AcInHgBr
Method: DFT, GGA-PBE
State: optimized geometry

The space group is F-43m (No. 216) and the conventional cell measures 7.718, 7.718 and 7.718 Å, with angles of 90.00, 90.00 and 90.00 degrees. The inequivalent atoms are Ac at (0.000, 0.000, 0.000), In at (0.000, 0.000, 0.500), Hg at (0.250, 0.250, 0.750) and Br at (0.250, 0.250, 0.250).

The electronic total energy comes out at -46.018 eV for the cell shown.

***

Material: YIn2AuCl
Method: DFT, GGA-PBE
State: optimized geometry

The space group is P4/mmm (No. 123) and the conventional cell measures 5.205, 5.205 and 5.789 Å, with angles of 90.00, 90.00 and 90.00 degrees. The inequivalent atoms are Y at (0.000, 0.000, 0.000), In at (0.000, 0.500, 0.500), Au at (0.000, 0.000, 0.500) and Cl at (0.500, 0.500, 0.000).

The electronic total energy comes out at -18.374 eV for the cell shown.

***

Material: Sr6SbPt2I3
Method: DFT, GGA-PBE
State: optimized geometry

The space group is C2/m (No. 12) and the conventional cell measures 7.900, 13.675 and 8.640 Å, with angles of 90.00, 107.99 and 90.00 degrees. The inequivalent atoms are Sr at (0.215, 0.000, 0.203), Sr at (0.245, 0.323, 0.204), Sb at (0.000, 0.500, 0.000), Pt at (0.000, 0.167, 0.000), I at (0.000, 0.000, 0.500) and I at (0.000, 0.338, 0.500).

The electronic total energy comes out at -89.351 eV for the cell shown.